(1)
The following is a PBE calculation of crystalline CeCd12Pd6 at its relaxed geometry, from Alexandria.

Structure (POSCAR):
```
CeCd12Pd6
1.0
6.212 3.587 3.063
-6.212 3.587 3.063
0.000 -7.173 3.063
Ce Cd Pd
1 12 6
Cartesian
0.000 0.000 0.000
-2.389 -4.138 4.595
-4.778 0.000 4.595
-1.575 -0.909 2.847
1.575 -0.909 2.847
0.000 1.819 2.847
2.389 -4.138 4.595
-2.389 4.138 4.595
0.000 -1.819 6.343
-1.575 0.909 6.343
1.575 0.909 6.343
4.778 0.000 4.595
2.389 4.138 4.595
0.000 -3.028 3.860
-2.622 1.514 3.860
-2.622 -1.514 5.330
2.622 1.514 3.860
2.622 -1.514 5.330
0.000 3.028 5.330
```

Properties
VASP energy   -52.01 eV per cell
Crystal system   trigonal
Total moment   1.3 Bohr magnetons per cell



(2)
The following is a PBE calculation of crystalline FeNiAu2 at its relaxed geometry, from Alexandria.

Structure (POSCAR):
```
FeNiAu2
1.0
2.855 0.000 0.000
0.000 2.855 0.000
0.000 0.000 7.306
Fe Ni Au
1 1 2
Cartesian
0.000 0.000 0.000
0.000 0.000 3.653
1.427 1.427 1.860
1.427 1.427 5.446
```

Properties
Distance to the lowest polymorph of the same formula   0.23 eV/f.u.
Crystal system   tetragonal
Total moment   3.4 Bohr magnetons per cell